#P
Material: Zr2RuBr
Method: DFT, GGA-PBE
State: optimized geometry

```
4
Lattice="1.946 1.123 7.187 -1.946 1.123 7.187 0.000 -2.247 7.187" Properties=species:S:1:pos:R:3 pbc="T T T"
Zr 0.000 0.000 4.900
Zr 0.000 0.000 16.662
Ru 0.000 0.000 10.781
Br 0.000 0.000 0.000
```

- total magnetization (μB/cell) = 0.00
- space group = No. 166
- theoretical density (g/cm³) = 6.40


#Q
Material: Zr2RuBr
Method: DFT, GGA-PBE
State: optimized geometry

```
4
Lattice="1.666 0.962 9.304 -1.666 0.962 9.304 0.000 -1.923 9.304" Properties=species:S:1:pos:R:3 pbc="T T T"
Zr 0.000 0.000 0.000
Zr 0.000 0.000 6.634
Ru 0.000 0.000 20.323
Br 0.000 0.000 13.972
```

- total magnetization (μB/cell) = 0.00
- space group = No. 160
- theoretical density (g/cm³) = 6.75


#R
Material: Zr2RuBr
Method: DFT, GGA-PBE
State: optimized geometry

```
4
Lattice="3.211 -3.676 0.000 3.211 3.676 0.000 0.000 0.000 3.238" Properties=species:S:1:pos:R:3 pbc="T T T"
Zr 1.606 1.838 0.000
Zr 1.606 -1.838 0.000
Ru 0.000 0.000 1.619
Br 3.211 0.000 1.619
```

- total magnetization (μB/cell) = 0.00
- space group = No. 65
- theoretical density (g/cm³) = 7.90


#S
Material: Zr2RuBr
Method: DFT, GGA-PBE
State: optimized geometry

```
4
Lattice="-1.655 1.738 7.638 1.655 -1.738 7.638 1.655 1.738 -7.638" Properties=species:S:1:pos:R:3 pbc="T T T"
Zr 0.000 0.000 0.000
Zr 0.000 1.738 4.448
Ru 0.000 0.000 6.414
Br 1.655 0.000 2.626
```

- total magnetization (μB/cell) = 0.00
- space group = No. 44
- theoretical density (g/cm³) = 6.87


What should be chosen as the least stable of them? Choose #R.


#P
Material: Zr2RuBr
Method: DFT, GGA-PBE
State: optimized geometry

```
4
Lattice="1.736 -2.684 0.000 1.736 2.684 0.000 0.000 0.000 9.494" Properties=species:S:1:pos:R:3 pbc="T T T"
Zr 0.000 0.000 0.000
Zr 1.736 0.000 2.620
Ru 1.736 0.000 7.687
Br 0.000 0.000 4.740
```

- total magnetization (μB/cell) = 0.00
- space group = No. 35
- theoretical density (g/cm³) = 6.82


#Q
Material: Zr2RuBr
Method: DFT, GGA-PBE
State: optimized geometry

```
4
Lattice="-2.004 2.664 3.717 2.004 -2.664 3.717 2.004 2.664 -3.717" Properties=species:S:1:pos:R:3 pbc="T T T"
Zr 0.000 0.000 1.778
Zr 0.000 0.000 5.657
Ru 2.004 0.000 0.000
Br 0.000 2.664 0.000
```

- total magnetization (μB/cell) = 0.00
- space group = No. 71
- theoretical density (g/cm³) = 7.60


#R
Material: Zr2RuBr
Method: DFT, GGA-PBE
State: optimized geometry

```
4
Lattice="-1.932 1.932 5.165 1.932 -1.932 5.165 1.932 1.932 -5.165" Properties=species:S:1:pos:R:3 pbc="T T T"
Zr 0.000 0.000 0.000
Zr 0.000 1.932 2.582
Ru 0.000 0.000 5.165
Br 1.932 0.000 2.582
```

- total magnetization (μB/cell) = 0.00
- space group = No. 119
- theoretical density (g/cm³) = 7.82


#S
Material: Zr2RuBr
Method: DFT, GGA-PBE
State: optimized geometry

```
4
Lattice="3.268 -3.735 0.000 3.268 3.735 0.000 -0.674 0.000 3.159" Properties=species:S:1:pos:R:3 pbc="T T T"
Zr 1.634 1.868 0.000
Zr 1.634 -1.868 0.000
Ru -0.337 0.000 1.580
Br 2.931 0.000 1.580
```

- total magnetization (μB/cell) = 0.00
- space group = No. 12
- theoretical density (g/cm³) = 7.82


What should be chosen as the least stable of them? Choose #R.


#P
Material: Zr2RuBr
Method: DFT, GGA-PBE
State: optimized geometry

```
4
Lattice="3.349 0.000 0.000 0.000 3.349 0.000 0.000 0.000 7.802" Properties=species:S:1:pos:R:3 pbc="T T T"
Zr 0.000 0.000 0.000
Zr 1.675 1.675 2.101
Ru 1.675 1.675 6.606
Br 0.000 0.000 3.860
```

- total magnetization (μB/cell) = 0.00
- space group = No. 99
- theoretical density (g/cm³) = 6.90


#Q
Material: Zr2RuBr
Method: DFT, GGA-PBE
State: optimized geometry

```
8
Lattice="-2.952 2.952 6.423 2.952 -2.952 6.423 2.952 2.952 -6.423" Properties=species:S:1:pos:R:3 pbc="T T T"
Zr 4.427 1.217 -1.606
Zr 1.217 1.476 1.606
Zr -1.476 1.735 4.818
Zr 1.735 1.476 8.029
Ru 0.000 0.000 0.000
Ru 0.000 2.952 3.212
Br 2.952 0.000 3.212
Br 0.000 0.000 6.423
```

- total magnetization (μB/cell) = 0.00
- space group = No. 122
- theoretical density (g/cm³) = 5.39


What should be chosen as the least stable of them? Choose #Q.


#P
Material: Zr2RuBr
Method: DFT, GGA-PBE
State: optimized geometry

```
4
Lattice="0.000 3.397 3.397 3.397 0.000 3.397 3.397 3.397 0.000" Properties=species:S:1:pos:R:3 pbc="T T T"
Zr 0.000 0.000 0.000
Zr 1.699 1.699 1.699
Ru 3.397 3.397 3.397
Br 5.096 5.096 5.096
```

- total magnetization (μB/cell) = 1.78
- space group = No. 216
- theoretical density (g/cm³) = 7.70


#Q
Material: Zr2RuBr
Method: DFT, GGA-PBE
State: optimized geometry

```
4
Lattice="3.246 0.000 0.000 0.000 4.537 0.000 -0.018 0.000 5.467" Properties=species:S:1:pos:R:3 pbc="T T T"
Zr 0.000 0.000 0.000
Zr 1.614 2.269 2.733
Ru -0.009 0.000 2.733
Br 1.623 2.269 0.000
```

- total magnetization (μB/cell) = 0.00
- space group = No. 10
- theoretical density (g/cm³) = 7.49


What should be chosen as the least stable of them? Choose #P.


#P
Material: ZrRuBr
Method: DFT, GGA-PBE
State: optimized geometry

```
3
Lattice="4.405 0.000 0.000 -2.202 3.815 0.000 0.000 0.000 3.205" Properties=species:S:1:pos:R:3 pbc="T T T"
Zr 0.000 0.000 0.000
Ru 0.000 2.543 1.603
Br 2.203 1.272 1.603
```

- total magnetization (μB/cell) = 0.00
- space group = No. 187
- theoretical density (g/cm³) = 8.39


#Q
Material: ZrRuBr
Method: DFT, GGA-PBE
State: optimized geometry

```
3
Lattice="0.000 3.154 3.154 3.154 0.000 3.154 3.154 3.154 0.000" Properties=species:S:1:pos:R:3 pbc="T T T"
Zr 0.000 0.000 0.000
Ru 1.577 1.577 1.577
Br 3.154 3.154 3.154
```

- total magnetization (μB/cell) = 0.00
- space group = No. 216
- theoretical density (g/cm³) = 7.20


#R
Material: ZrRuBr
Method: DFT, GGA-PBE
State: optimized geometry

```
3
Lattice="0.000 3.199 3.199 3.199 0.000 3.199 3.199 3.199 0.000" Properties=species:S:1:pos:R:3 pbc="T T T"
Zr 0.000 0.000 0.000
Ru 1.599 1.599 1.599
Br 4.798 4.798 4.798
```

- total magnetization (μB/cell) = 0.35
- space group = No. 216
- theoretical density (g/cm³) = 6.90


What should be chosen as the least stable of them? Choose #R.


#P
Material: ZrRuBr
Method: DFT, GGA-PBE
State: optimized geometry

```
3
Lattice="0.000 2.291 5.813 2.276 0.000 5.813 2.276 2.291 0.000" Properties=species:S:1:pos:R:3 pbc="T T T"
Zr 0.000 0.000 0.000
Ru 2.276 2.291 7.283
Br 2.276 2.291 3.742
```

- total magnetization (μB/cell) = 0.00
- space group = No. 42
- theoretical density (g/cm³) = 7.46


#Q
Material: ZrRuBr
Method: DFT, GGA-PBE
State: optimized geometry

```
3
Lattice="3.414 0.000 0.000 -1.707 2.957 0.000 0.000 0.000 6.541" Properties=species:S:1:pos:R:3 pbc="T T T"
Zr 0.000 0.000 0.000
Ru 0.000 1.971 4.867
Br 1.707 0.986 2.087
```

- total magnetization (μB/cell) = 0.00
- space group = No. 156
- theoretical density (g/cm³) = 6.85


What should be chosen as the least stable of them? Choose #P.